[1]
# NaHf2BiTe, relaxed, DFT PBE-GGA
data_NaHf2BiTe
_space_group_name_H-M_alt 'P 4/m m m'
_space_group_IT_number 123
_space_group_name_Hall '-P 4 2'
_cell_length_a 5.278
_cell_length_b 5.278
_cell_length_c 4.981
_cell_angle_alpha 90.00
_cell_angle_beta 90.00
_cell_angle_gamma 90.00
loop_
_atom_site_label
_atom_site_type_symbol
_atom_site_fract_x
_atom_site_fract_y
_atom_site_fract_z
Na1 Na 0.000 0.000 0.000
Hf1 Hf 0.000 0.500 0.000
Bi1 Bi 0.000 0.000 0.500
Te1 Te 0.500 0.500 0.500
# Crystal system ... tetragonal
# Uncorrected formation energy ... 1.2510 eV/atom

***

[2]
# Na2Hf2BiTe6, relaxed, DFT PBE-GGA
data_Na2Hf2BiTe6
_space_group_name_H-M_alt 'C 1 2/m 1'
_space_group_IT_number 12
_space_group_name_Hall '-C 2y'
_cell_length_a 7.370
_cell_length_b 12.670
_cell_length_c 8.025
_cell_angle_alpha 90.00
_cell_angle_beta 104.31
_cell_angle_gamma 90.00
loop_
_atom_site_label
_atom_site_type_symbol
_atom_site_fract_x
_atom_site_fract_y
_atom_site_fract_z
Na1 Na 0.000 0.166 0.000
Hf1 Hf 0.000 0.351 0.500
Bi1 Bi 0.000 0.000 0.500
Te1 Te 0.218 0.500 0.741
Te2 Te 0.235 0.181 0.712
# Crystal system ... monoclinic
# Uncorrected formation energy ... -0.6877 eV/atom

***

[3]
# NaY2HfBi, relaxed, DFT PBE-GGA
data_NaY2HfBi
_space_group_name_H-M_alt 'P 4/m m m'
_space_group_IT_number 123
_space_group_name_Hall '-P 4 2'
_cell_length_a 5.393
_cell_length_b 5.393
_cell_length_c 5.190
_cell_angle_alpha 90.00
_cell_angle_beta 90.00
_cell_angle_gamma 90.00
loop_
_atom_site_label
_atom_site_type_symbol
_atom_site_fract_x
_atom_site_fract_y
_atom_site_fract_z
Na1 Na 0.000 0.000 0.000
Y1 Y 0.000 0.500 0.000
Hf1 Hf 0.500 0.500 0.500
Bi1 Bi 0.000 0.000 0.500
# Crystal system ... tetragonal
# DFT formation energy ... 0.921 eV per atom

***

[4]
# Hf3NbBi, relaxed, DFT PBE-GGA
data_Hf3NbBi
_space_group_name_H-M_alt 'C 1 2/m 1'
_space_group_IT_number 12
_space_group_name_Hall '-C 2y'
_cell_length_a 13.769
_cell_length_b 3.271
_cell_length_c 11.233
_cell_angle_alpha 90.00
_cell_angle_beta 115.98
_cell_angle_gamma 90.00
loop_
_atom_site_label
_atom_site_type_symbol
_atom_site_fract_x
_atom_site_fract_y
_atom_site_fract_z
Hf1 Hf 0.012 0.000 0.162
Hf2 Hf 0.134 0.500 0.726
Hf3 Hf 0.200 0.500 0.367
Nb1 Nb 0.069 0.000 0.458
Bi1 Bi 0.165 0.500 0.068
# Polymorph energy (0 for the lowest one) ... 0 meV per atom
# Crystal system ... monoclinic
# DFT formation energy ... 0.063 eV per atom

***

[5]
# Hf5NbBi2, relaxed, DFT PBE-GGA
data_Hf5NbBi2
_space_group_name_H-M_alt 'C m c m'
_space_group_IT_number 63
_space_group_name_Hall '-C 2c 2'
_cell_length_a 4.979
_cell_length_b 13.522
_cell_length_c 12.473
_cell_angle_alpha 90.00
_cell_angle_beta 90.00
_cell_angle_gamma 90.00
loop_
_atom_site_label
_atom_site_type_symbol
_atom_site_fract_x
_atom_site_fract_y
_atom_site_fract_z
Hf1 Hf 0.000 0.118 0.132
Hf2 Hf 0.000 0.305 0.750
Hf3 Hf 0.000 0.312 0.011
Nb1 Nb 0.000 0.315 0.250
Bi1 Bi 0.000 0.103 0.618
# Crystal system ... orthorhombic
# DFT formation energy ... 0.301 eV per atom

***

[6]
# Hf3NbBi, relaxed, DFT PBE-GGA
data_Hf3NbBi
_space_group_name_H-M_alt 'C 1 2/c 1'
_space_group_IT_number 15
_space_group_name_Hall '-C 2yc'
_cell_length_a 10.890
_cell_length_b 12.600
_cell_length_c 7.218
_cell_angle_alpha 90.00
_cell_angle_beta 111.37
_cell_angle_gamma 90.00
loop_
_atom_site_label
_atom_site_type_symbol
_atom_site_fract_x
_atom_site_fract_y
_atom_site_fract_z
Hf1 Hf 0.125 0.196 0.495
Hf2 Hf 0.144 0.460 0.515
Hf3 Hf 0.192 0.148 0.066
Nb1 Nb 0.118 0.338 0.179
Bi1 Bi 0.000 0.005 0.750
Bi2 Bi 0.000 0.332 0.750
# Polymorph energy (0 for the lowest one) ... 53 meV per atom
# Crystal system ... monoclinic
# DFT formation energy ... 0.117 eV per atom

***

[7]
# Hf6NbBi3, relaxed, DFT PBE-GGA
data_Hf6NbBi3
_space_group_name_H-M_alt 'C m c 21'
_space_group_IT_number 36
_space_group_name_Hall 'C 2c -2'
_cell_length_a 10.002
_cell_length_b 14.028
_cell_length_c 7.127
_cell_angle_alpha 90.00
_cell_angle_beta 90.00
_cell_angle_gamma 90.00
loop_
_atom_site_label
_atom_site_type_symbol
_atom_site_fract_x
_atom_site_fract_y
_atom_site_fract_z
Hf1 Hf 0.000 0.170 0.000
Hf2 Hf 0.000 0.251 0.511
Hf3 Hf 0.175 0.424 0.467
Hf4 Hf 0.245 0.273 0.796
Nb1 Nb 0.000 0.353 0.171
Bi1 Bi 0.000 0.416 0.795
Bi2 Bi 0.166 0.082 0.613
# Crystal system ... orthorhombic
# DFT formation energy ... 0.037 eV per atom

***

[8]
# Hf7NbBi2, relaxed, DFT PBE-GGA
data_Hf7NbBi2
_space_group_name_H-M_alt 'F m -3 m'
_space_group_IT_number 225
_space_group_name_Hall '-F 4 2 3'
_cell_length_a 10.309
_cell_length_b 10.309
_cell_length_c 10.309
_cell_angle_alpha 90.00
_cell_angle_beta 90.00
_cell_angle_gamma 90.00
loop_
_atom_site_label
_atom_site_type_symbol
_atom_site_fract_x
_atom_site_fract_y
_atom_site_fract_z
Hf1 Hf 0.000 0.000 0.000
Hf2 Hf 0.000 0.000 0.253
Nb1 Nb 0.000 0.000 0.500
Bi1 Bi 0.250 0.250 0.250
# Crystal system ... cubic
# DFT formation energy ... 0.965 eV per atom

***

[9]
# HfNbBi2, relaxed, DFT PBE-GGA
data_HfNbBi2
_space_group_name_H-M_alt 'F m -3 m'
_space_group_IT_number 225
_space_group_name_Hall '-F 4 2 3'
_cell_length_a 7.144
_cell_length_b 7.144
_cell_length_c 7.144
_cell_angle_alpha 90.00
_cell_angle_beta 90.00
_cell_angle_gamma 90.00
loop_
_atom_site_label
_atom_site_type_symbol
_atom_site_fract_x
_atom_site_fract_y
_atom_site_fract_z
Hf1 Hf 0.000 0.000 0.000
Nb1 Nb 0.000 0.000 0.500
Bi1 Bi 0.250 0.250 0.250
# Polymorph energy (0 for the lowest one) ... 0 meV per atom
# Crystal system ... cubic
# DFT formation energy ... 0.129 eV per atom

***

[10]
# Hf12NbBi6, relaxed, DFT PBE-GGA
data_Hf12NbBi6
_space_group_name_H-M_alt 'R -3'
_space_group_IT_number 148
_space_group_name_Hall '-R 3'
_cell_length_a 13.8917
_cell_length_b 13.8917
_cell_length_c 8.5781
_cell_angle_alpha 90.00
_cell_angle_beta 90.00
_cell_angle_gamma 120.00
loop_
_atom_site_label
_atom_site_type_symbol
_atom_site_fract_x
_atom_site_fract_y
_atom_site_fract_z
Hf1 Hf 0.0287 0.8870 0.2727
Hf2 Hf 0.0595 0.8186 0.9346
Nb1 Nb 0.0000 0.0000 0.0000
Bi1 Bi 0.0448 0.7889 0.5762
# Crystal system ... trigonal
# DFT formation energy ... -0.019 eV per atom

***

[11]
# HfNbBi2, relaxed, DFT PBE-GGA
data_HfNbBi2
_space_group_name_H-M_alt 'I -4 2 d'
_space_group_IT_number 122
_space_group_name_Hall 'I -4 2bw'
_cell_length_a 6.411
_cell_length_b 6.411
_cell_length_c 14.103
_cell_angle_alpha 90.00
_cell_angle_beta 90.00
_cell_angle_gamma 90.00
loop_
_atom_site_label
_atom_site_type_symbol
_atom_site_fract_x
_atom_site_fract_y
_atom_site_fract_z
Hf1 Hf 0.000 0.000 0.000
Nb1 Nb 0.000 0.000 0.500
Bi1 Bi 0.246 0.250 0.625
# Polymorph energy (0 for the lowest one) ... 796 meV per atom
# Crystal system ... tetragonal
# DFT formation energy ... 0.925 eV per atom

***

[12]
# HfNbBi2, relaxed, DFT PBE-GGA
data_HfNbBi2
_space_group_name_H-M_alt 'R -3 m'
_space_group_IT_number 166
_space_group_name_Hall '-R 3 2"'
_cell_length_a 3.2667
_cell_length_b 3.2667
_cell_length_c 32.5511
_cell_angle_alpha 90.00
_cell_angle_beta 90.00
_cell_angle_gamma 120.00
loop_
_atom_site_label
_atom_site_type_symbol
_atom_site_fract_x
_atom_site_fract_y
_atom_site_fract_z
Hf1 Hf 0.0000 0.0000 0.0000
Nb1 Nb 0.0000 0.0000 0.5000
Bi1 Bi 0.0000 0.0000 0.4100
# Polymorph energy (0 for the lowest one) ... 338 meV per atom
# Crystal system ... trigonal
# DFT formation energy ... 0.467 eV per atom

***

[13]
# Hf3NbBi, relaxed, DFT PBE-GGA
data_Hf3NbBi
_space_group_name_H-M_alt 'P m -3 m'
_space_group_IT_number 221
_space_group_name_Hall '-P 4 2 3'
_cell_length_a 5.115
_cell_length_b 5.115
_cell_length_c 5.115
_cell_angle_alpha 90.00
_cell_angle_beta 90.00
_cell_angle_gamma 90.00
loop_
_atom_site_label
_atom_site_type_symbol
_atom_site_fract_x
_atom_site_fract_y
_atom_site_fract_z
Hf1 Hf 0.000 0.000 0.500
Nb1 Nb 0.000 0.000 0.000
Bi1 Bi 0.500 0.500 0.500
# Polymorph energy (0 for the lowest one) ... 778 meV per atom
# Crystal system ... cubic
# DFT formation energy ... 0.841 eV per atom

***

[14]
# Hf3NbBi, relaxed, DFT PBE-GGA
data_Hf3NbBi
_space_group_name_H-M_alt 'P m -3 m'
_space_group_IT_number 221
_space_group_name_Hall '-P 4 2 3'
_cell_length_a 5.245
_cell_length_b 5.245
_cell_length_c 5.245
_cell_angle_alpha 90.00
_cell_angle_beta 90.00
_cell_angle_gamma 90.00
loop_
_atom_site_label
_atom_site_type_symbol
_atom_site_fract_x
_atom_site_fract_y
_atom_site_fract_z
Hf1 Hf 0.000 0.000 0.500
Nb1 Nb 0.500 0.500 0.500
Bi1 Bi 0.000 0.000 0.000
# Polymorph energy (0 for the lowest one) ... 1519 meV per atom
# Crystal system ... cubic
# DFT formation energy ... 1.582 eV per atom

***

[15]
# HfNbBi3, relaxed, DFT PBE-GGA
data_HfNbBi3
_space_group_name_H-M_alt 'P m -3 m'
_space_group_IT_number 221
_space_group_name_Hall '-P 4 2 3'
_cell_length_a 5.457
_cell_length_b 5.457
_cell_length_c 5.457
_cell_angle_alpha 90.00
_cell_angle_beta 90.00
_cell_angle_gamma 90.00
loop_
_atom_site_label
_atom_site_type_symbol
_atom_site_fract_x
_atom_site_fract_y
_atom_site_fract_z
Hf1 Hf 0.000 0.000 0.000
Nb1 Nb 0.500 0.500 0.500
Bi1 Bi 0.000 0.500 0.500
# Polymorph energy (0 for the lowest one) ... 0 meV per atom
# Crystal system ... cubic
# DFT formation energy ... 0.950 eV per atom

***

[16]
# HfNb3Bi, relaxed, DFT PBE-GGA
data_HfNb3Bi
_space_group_name_H-M_alt 'P m -3 m'
_space_group_IT_number 221
_space_group_name_Hall '-P 4 2 3'
_cell_length_a 4.982
_cell_length_b 4.982
_cell_length_c 4.982
_cell_angle_alpha 90.00
_cell_angle_beta 90.00
_cell_angle_gamma 90.00
loop_
_atom_site_label
_atom_site_type_symbol
_atom_site_fract_x
_atom_site_fract_y
_atom_site_fract_z
Hf1 Hf 0.000 0.000 0.000
Nb1 Nb 0.000 0.000 0.500
Bi1 Bi 0.500 0.500 0.500
# Polymorph energy (0 for the lowest one) ... 0 meV per atom
# Crystal system ... cubic
# DFT formation energy ... 1.405 eV per atom

***

[17]
# HfNb3Bi, relaxed, DFT PBE-GGA
data_HfNb3Bi
_space_group_name_H-M_alt 'P m -3 m'
_space_group_IT_number 221
_space_group_name_Hall '-P 4 2 3'
_cell_length_a 5.100
_cell_length_b 5.100
_cell_length_c 5.100
_cell_angle_alpha 90.00
_cell_angle_beta 90.00
_cell_angle_gamma 90.00
loop_
_atom_site_label
_atom_site_type_symbol
_atom_site_fract_x
_atom_site_fract_y
_atom_site_fract_z
Hf1 Hf 0.000 0.000 0.000
Nb1 Nb 0.000 0.500 0.500
Bi1 Bi 0.500 0.500 0.500
# Polymorph energy (0 for the lowest one) ... 296 meV per atom
# Crystal system ... cubic
# DFT formation energy ... 1.701 eV per atom

***

[18]
# Hf4NbBi, relaxed, DFT PBE-GGA
data_Hf4NbBi
_space_group_name_H-M_alt 'C 1 2/c 1'
_space_group_IT_number 15
_space_group_name_Hall '-C 2yc'
_cell_length_a 8.226
_cell_length_b 12.452
_cell_length_c 5.700
_cell_angle_alpha 90.00
_cell_angle_beta 109.22
_cell_angle_gamma 90.00
loop_
_atom_site_label
_atom_site_type_symbol
_atom_site_fract_x
_atom_site_fract_y
_atom_site_fract_z
Hf1 Hf 0.109 0.187 0.067
Hf2 Hf 0.214 0.405 0.359
Nb1 Nb 0.000 0.001 0.750
Bi1 Bi 0.000 0.388 0.750
# Crystal system ... monoclinic
# DFT formation energy ... 0.040 eV per atom

***

[19]
# Hf4NbBi2, relaxed, DFT PBE-GGA
data_Hf4NbBi2
_space_group_name_H-M_alt 'P 1 21/m 1'
_space_group_IT_number 11
_space_group_name_Hall '-P 2yb'
_cell_length_a 7.555
_cell_length_b 5.957
_cell_length_c 7.936
_cell_angle_alpha 90.00
_cell_angle_beta 115.91
_cell_angle_gamma 90.00
loop_
_atom_site_label
_atom_site_type_symbol
_atom_site_fract_x
_atom_site_fract_y
_atom_site_fract_z
Hf1 Hf 0.010 0.250 0.004
Hf2 Hf 0.165 0.000 0.734
Hf3 Hf 0.300 0.250 0.438
Nb1 Nb 0.415 0.750 0.174
Bi1 Bi 0.228 0.750 0.423
Bi2 Bi 0.435 0.250 0.113
# Crystal system ... monoclinic
# DFT formation energy ... 0.088 eV per atom

***

[20]
# Hf6NbBi, relaxed, DFT PBE-GGA
data_Hf6NbBi
_space_group_name_H-M_alt 'P -1'
_space_group_IT_number 2
_space_group_name_Hall '-P 1'
_cell_length_a 5.608
_cell_length_b 5.610
_cell_length_c 5.614
_cell_angle_alpha 90.09
_cell_angle_beta 90.01
_cell_angle_gamma 90.12
loop_
_atom_site_label
_atom_site_type_symbol
_atom_site_fract_x
_atom_site_fract_y
_atom_site_fract_z
Hf1 Hf 0.002 0.257 0.494
Hf2 Hf 0.243 0.004 0.999
Hf3 Hf 0.497 0.503 0.757
Nb1 Nb 0.000 0.500 0.000
Bi1 Bi 0.500 0.000 0.500
# Crystal system ... triclinic
# DFT formation energy ... 0.026 eV per atom

***

| no. | magnetic moment (μB per cell) |
| --- | --- |
| 1 | 0.0 |
| 2 | 1.8 |
| 3 | 0.9 |
| 4 | 0.0 |
| 5 | 0.0 |
| 6 | 0.0 |
| 7 | 0.0 |
| 8 | 0.0 |
| 9 | 0.0 |
| 10 | 0.0 |
| 11 | 11.5 |
| 12 | 0.0 |
| 13 | 0.0 |
| 14 | 0.0 |
| 15 | 0.1 |
| 16 | 0.0 |
| 17 | 0.0 |
| 18 | 0.0 |
| 19 | 0.0 |
| 20 | 0.0 |